--- one ---
Entry from Alexandria: an optimized crystal structure of La4YEr (PBE).

The structure in CIF format:
```
data_La4YEr
_chemical_formula_sum 'La4 Y1 Er1'
_cell_length_a 6.048
_cell_length_b 6.495
_cell_length_c 7.053
_cell_angle_alpha 92.74
_cell_angle_beta 64.61
_cell_angle_gamma 62.25
_space_group_name_H-M_alt 'P 1'
_space_group_IT_number 1
loop_
_space_group_symop_operation_xyz
'x,y,z'
loop_
_atom_site_label
_atom_site_type_symbol
_atom_site_fract_x
_atom_site_fract_y
_atom_site_fract_z
La1 La 0.650 0.691 0.010
La2 La 0.350 0.309 0.990
La3 La 0.143 0.186 0.527
La4 La 0.857 0.814 0.473
Y1 Y 0.500 0.500 0.500
Er1 Er 0.000 0.000 0.000
```

Results
The space-group type is C2/m, No. 12. The calculation puts the total magnetization at 0.00 μB/cell. The value obtained for the calculated volume is 35.11 Å³/atom. The density of states at the Fermi level is 1.93 states/eV per atom.

--- two ---
Entry from Alexandria: an optimized crystal structure of La4YEr (PBE).

The structure in CIF format:
```
data_La4YEr
_chemical_formula_sum 'La8 Y2 Er2'
_cell_length_a 5.856
_cell_length_b 7.129
_cell_length_c 10.026
_cell_angle_alpha 90.00
_cell_angle_beta 89.99
_cell_angle_gamma 89.97
_space_group_name_H-M_alt 'P 1'
_space_group_IT_number 1
loop_
_space_group_symop_operation_xyz
'x,y,z'
loop_
_atom_site_label
_atom_site_type_symbol
_atom_site_fract_x
_atom_site_fract_y
_atom_site_fract_z
La1 La 0.000 0.500 0.673
La2 La 0.499 0.500 0.830
La3 La 0.999 0.000 0.327
La4 La 0.501 0.500 0.170
La5 La 0.500 0.000 0.170
La6 La 0.001 0.000 0.673
La7 La 0.500 0.000 0.830
La8 La 0.000 0.500 0.327
Y1 Y 0.500 0.750 0.500
Y2 Y 0.500 0.250 0.500
Er1 Er 0.000 0.750 0.000
Er2 Er 0.000 0.250 0.000
```

Results
The space-group type is Pmmm, No. 47. The calculation puts the total magnetization at 0.00 μB/cell. The value obtained for the calculated volume is 34.88 Å³/atom. The density of states at the Fermi level is 1.98 states/eV per atom.

two is favored, and the nearest alternative lies 41 meV/atom above it.

--- one ---
Entry from Alexandria: an optimized crystal structure of LaY4Er6 (PBE).

The structure in CIF format:
```
data_LaY4Er6
_chemical_formula_sum 'La2 Y8 Er12'
_cell_length_a 5.663
_cell_length_b 5.634
_cell_length_c 25.647
_cell_angle_alpha 90.00
_cell_angle_beta 90.00
_cell_angle_gamma 120.17
_space_group_name_H-M_alt 'P 1'
_space_group_IT_number 1
loop_
_space_group_symop_operation_xyz
'x,y,z'
loop_
_atom_site_label
_atom_site_type_symbol
_atom_site_fract_x
_atom_site_fract_y
_atom_site_fract_z
La1 La 0.828 0.656 0.250
La2 La 0.172 0.344 0.750
Y1 Y 0.835 0.670 0.541
Y2 Y 0.495 0.989 0.122
Y3 Y 0.165 0.330 0.459
Y4 Y 0.505 0.011 0.878
Y5 Y 0.835 0.670 0.959
Y6 Y 0.165 0.330 0.041
Y7 Y 0.505 0.011 0.622
Y8 Y 0.495 0.989 0.378
Er1 Er 0.500 0.000 0.000
Er2 Er 0.500 0.000 0.500
Er3 Er 0.161 0.323 0.319
Er4 Er 0.839 0.677 0.681
Er5 Er 0.839 0.677 0.819
Er6 Er 0.161 0.323 0.181
Er7 Er 0.829 0.658 0.399
Er8 Er 0.171 0.342 0.601
Er9 Er 0.171 0.342 0.899
Er10 Er 0.829 0.658 0.101
Er11 Er 0.494 0.988 0.250
Er12 Er 0.506 0.012 0.750
```

Results
The space-group type is Cmcm, No. 63. The calculation puts the total magnetization at 0.00 μB/cell. The value obtained for the calculated volume is 32.16 Å³/atom. The density of states at the Fermi level is 1.77 states/eV per atom.

--- two ---
Entry from Alexandria: an optimized crystal structure of LaY4Er6 (PBE).

The structure in CIF format:
```
data_LaY4Er6
_chemical_formula_sum 'La1 Y4 Er6'
_cell_length_a 7.702
_cell_length_b 7.702
_cell_length_c 8.464
_cell_angle_alpha 117.06
_cell_angle_beta 117.06
_cell_angle_gamma 90.00
_space_group_name_H-M_alt 'P 1'
_space_group_IT_number 1
loop_
_space_group_symop_operation_xyz
'x,y,z'
loop_
_atom_site_label
_atom_site_type_symbol
_atom_site_fract_x
_atom_site_fract_y
_atom_site_fract_z
La1 La 0.500 0.500 0.000
Y1 Y 0.090 0.757 0.847
Y2 Y 0.910 0.910 0.153
Y3 Y 0.757 0.090 0.847
Y4 Y 0.243 0.243 0.153
Er1 Er 0.934 0.435 0.368
Er2 Er 0.435 0.934 0.368
Er3 Er 0.565 0.565 0.632
Er4 Er 0.000 0.500 0.000
Er5 Er 0.066 0.066 0.632
Er6 Er 0.500 0.000 0.000
```

Results
The space-group type is I-42m, No. 121. The calculation puts the total magnetization at 0.00 μB/cell. The value obtained for the calculated volume is 34.94 Å³/atom. The density of states at the Fermi level is 1.61 states/eV per atom.

one is favored, and the nearest alternative lies 351 meV/atom above it.

--- one ---
Entry from Alexandria: an optimized crystal structure of LaYEr2 (PBE).

The structure in CIF format:
```
data_LaYEr2
_chemical_formula_sum 'La1 Y1 Er2'
_cell_length_a 5.052
_cell_length_b 5.088
_cell_length_c 5.088
_cell_angle_alpha 90.00
_cell_angle_beta 90.00
_cell_angle_gamma 90.00
_space_group_name_H-M_alt 'P 1'
_space_group_IT_number 1
loop_
_space_group_symop_operation_xyz
'x,y,z'
loop_
_atom_site_label
_atom_site_type_symbol
_atom_site_fract_x
_atom_site_fract_y
_atom_site_fract_z
Y1 Y 0.500 0.000 0.000
La1 La 0.500 0.500 0.500
Er1 Er 0.000 0.000 0.500
Er2 Er 0.000 0.500 0.000
```

Results
The space-group type is P4/mmm, No. 123. The calculation puts the total magnetization at 0.00 μB/cell. The value obtained for the calculated volume is 32.69 Å³/atom. The density of states at the Fermi level is 1.72 states/eV per atom.

--- two ---
Entry from Alexandria: an optimized crystal structure of LaYEr2 (PBE).

The structure in CIF format:
```
data_LaYEr2
_chemical_formula_sum 'La1 Y1 Er2'
_cell_length_a 5.722
_cell_length_b 5.722
_cell_length_c 5.722
_cell_angle_alpha 60.00
_cell_angle_beta 60.00
_cell_angle_gamma 60.00
_space_group_name_H-M_alt 'P 1'
_space_group_IT_number 1
loop_
_space_group_symop_operation_xyz
'x,y,z'
loop_
_atom_site_label
_atom_site_type_symbol
_atom_site_fract_x
_atom_site_fract_y
_atom_site_fract_z
Y1 Y 0.000 0.000 0.000
La1 La 0.500 0.500 0.500
Er1 Er 0.250 0.250 0.250
Er2 Er 0.750 0.750 0.750
```

Results
The space-group type is Fm-3m, No. 225. The calculation puts the total magnetization at 0.00 μB/cell. The value obtained for the calculated volume is 33.12 Å³/atom. The density of states at the Fermi level is 1.66 states/eV per atom.

--- three ---
Entry from Alexandria: an optimized crystal structure of LaYEr2 (PBE).

The structure in CIF format:
```
data_LaYEr2
_chemical_formula_sum 'La1 Y1 Er2'
_cell_length_a 3.609
_cell_length_b 3.609
_cell_length_c 11.722
_cell_angle_alpha 81.14
_cell_angle_beta 81.14
_cell_angle_gamma 60.00
_space_group_name_H-M_alt 'P 1'
_space_group_IT_number 1
loop_
_space_group_symop_operation_xyz
'x,y,z'
loop_
_atom_site_label
_atom_site_type_symbol
_atom_site_fract_x
_atom_site_fract_y
_atom_site_fract_z
La1 La 0.666 0.666 0.002
Y1 Y 0.500 0.500 0.499
Er1 Er 0.085 0.085 0.745
Er2 Er 0.248 0.248 0.255
```

Results
The space-group type is R3m, No. 160. The calculation puts the total magnetization at 0.10 μB/cell. The value obtained for the calculated volume is 32.53 Å³/atom. The density of states at the Fermi level is 1.64 states/eV per atom.

--- four ---
Entry from Alexandria: an optimized crystal structure of LaYEr2 (PBE).

The structure in CIF format:
```
data_LaYEr2
_chemical_formula_sum 'La1 Y1 Er2'
_cell_length_a 3.589
_cell_length_b 3.589
_cell_length_c 11.814
_cell_angle_alpha 81.26
_cell_angle_beta 81.26
_cell_angle_gamma 60.00
_space_group_name_H-M_alt 'P 1'
_space_group_IT_number 1
loop_
_space_group_symop_operation_xyz
'x,y,z'
loop_
_atom_site_label
_atom_site_type_symbol
_atom_site_fract_x
_atom_site_fract_y
_atom_site_fract_z
Y1 Y 0.500 0.500 0.500
La1 La 0.000 0.000 0.000
Er1 Er 0.248 0.248 0.255
Er2 Er 0.752 0.752 0.745
```

Results
The space-group type is R-3m, No. 166. The calculation puts the total magnetization at 0.00 μB/cell. The value obtained for the calculated volume is 32.44 Å³/atom. The density of states at the Fermi level is 1.44 states/eV per atom.

three is favored, and the nearest alternative lies 16 meV/atom above it.

--- one ---
Entry from Alexandria: an optimized crystal structure of La8Y2Er3 (PBE).

The structure in CIF format:
```
data_La8Y2Er3
_chemical_formula_sum 'La8 Y2 Er3'
_cell_length_a 5.818
_cell_length_b 7.748
_cell_length_c 11.017
_cell_angle_alpha 110.59
_cell_angle_beta 90.02
_cell_angle_gamma 90.00
_space_group_name_H-M_alt 'P 1'
_space_group_IT_number 1
loop_
_space_group_symop_operation_xyz
'x,y,z'
loop_
_atom_site_label
_atom_site_type_symbol
_atom_site_fract_x
_atom_site_fract_y
_atom_site_fract_z
La1 La 0.001 0.674 0.347
La2 La 0.999 0.326 0.653
La3 La 0.000 0.129 0.258
La4 La 0.000 0.871 0.742
La5 La 0.500 0.595 0.791
La6 La 0.500 0.196 0.791
La7 La 0.500 0.804 0.209
La8 La 0.500 0.405 0.209
Y1 Y 0.499 0.239 0.478
Y2 Y 0.501 0.761 0.522
Er1 Er 0.500 0.000 0.000
Er2 Er 0.000 0.284 0.000
Er3 Er 0.000 0.716 0.000
```

Results
The space-group type is C2/m, No. 12. The calculation puts the total magnetization at 0.00 μB/cell. The value obtained for the calculated volume is 35.77 Å³/atom. The density of states at the Fermi level is 1.32 states/eV per atom.

--- two ---
Entry from Alexandria: an optimized crystal structure of La8Y2Er3 (PBE).

The structure in CIF format:
```
data_La8Y2Er3
_chemical_formula_sum 'La8 Y2 Er3'
_cell_length_a 6.147
_cell_length_b 11.823
_cell_length_c 9.034
_cell_angle_alpha 130.87
_cell_angle_beta 73.09
_cell_angle_gamma 90.00
_space_group_name_H-M_alt 'P 1'
_space_group_IT_number 1
loop_
_space_group_symop_operation_xyz
'x,y,z'
loop_
_atom_site_label
_atom_site_type_symbol
_atom_site_fract_x
_atom_site_fract_y
_atom_site_fract_z
La1 La 0.734 0.414 0.829
La2 La 0.266 0.586 0.171
La3 La 0.114 0.862 0.724
La4 La 0.886 0.138 0.276
La5 La 0.352 0.920 0.319
La6 La 0.352 0.399 0.319
La7 La 0.648 0.601 0.681
La8 La 0.648 0.080 0.681
Y1 Y 0.685 0.687 0.374
Y2 Y 0.315 0.313 0.626
Er1 Er 0.500 0.000 0.000
Er2 Er 0.000 0.273 0.000
Er3 Er 0.000 0.727 0.000
```

Results
The space-group type is C2/m, No. 12. The calculation puts the total magnetization at 0.00 μB/cell. The value obtained for the calculated volume is 35.26 Å³/atom. The density of states at the Fermi level is 1.64 states/eV per atom.

two is favored, and the nearest alternative lies 34 meV/atom above it.